1.
Below is an optimized crystal structure of UVCo2, with properties calculated at the PBE level.

The space group is P4/mmm (No. 123) and the conventional cell measures 2.9187, 2.9187 and 6.5682 Å, with angles of 90.00, 90.00 and 90.00 degrees. The asymmetric unit holds U at (0.0000, 0.0000, 0.0000), V at (0.0000, 0.0000, 0.5000) and Co at (0.5000, 0.5000, 0.2962).

For the total DFT energy (no corrections), the calculation gives -8.6816 eV per atom. The value obtained for the formation energy is -0.027 eV per atom.


2.
Below is an optimized crystal structure of Nd2TlGe, with properties calculated at the PBE level.

The space group is P2_1/m (No. 11) and the conventional cell measures 6.2557, 4.2750 and 8.9777 Å, with angles of 90.00, 107.83 and 90.00 degrees. The asymmetric unit holds Nd at (0.1866, 0.2500, 0.4176), Nd at (0.2780, 0.7500, 0.0588), Tl at (0.3810, 0.7500, 0.7045) and Ge at (0.1239, 0.2500, 0.7954).

For the total DFT energy (no corrections), the calculation gives -4.7236 eV per atom. The value obtained for the formation energy is -0.594 eV per atom.


3.
Below is an optimized crystal structure of Re5Se, with properties calculated at the PBE level.

The space group is P6/mmm (No. 191) and the conventional cell measures 5.0524, 5.0524 and 4.7041 Å, with angles of 90.00, 90.00 and 120.00 degrees. The asymmetric unit holds Re at (0.0000, 0.5000, 0.0000), Re at (0.3333, 0.6667, 0.5000) and Se at (0.0000, 0.0000, 0.5000).

The value obtained for the uncorrected formation energy is 5.51 eV per formula unit. For the total DFT energy (no corrections), the calculation gives -10.0351 eV per atom.


We obtain DOS(E_F) values of 1.91, 0.94, 1.04 states/eV/atom for the records listed above, in that order.